A plane-wave DFT calculation with PBE was carried out for TeIrWI2 after structural relaxation.

Structure (POSCAR):
```
TeIrWI2
1.0
5.432 0.000 0.000
0.000 5.432 0.000
0.000 0.000 5.209
W I Te Ir
1 2 1 1
Direct
0.000 0.000 0.000
0.500 0.000 0.000
0.000 0.500 0.000
0.000 0.000 0.500
0.500 0.500 0.500
```

Distance to the lowest polymorph of the same formula   108 meV/atom

=====

A plane-wave DFT calculation with PBE was carried out for TeIrWI2 after structural relaxation.

Structure (POSCAR):
```
TeIrWI2
1.0
5.301 0.000 0.000
0.000 5.301 0.000
0.000 0.000 5.342
W Te Ir I
1 1 1 2
Direct
0.500 0.500 0.500
0.000 0.000 0.500
0.000 0.000 0.000
0.000 0.500 0.000
0.500 0.000 0.000
```

Distance to the lowest polymorph of the same formula   0 meV/atom

=====

A plane-wave DFT calculation with PBE was carried out for YTeIrI2 after structural relaxation.

Structure (POSCAR):
```
YTeIrI2
1.0
5.855 0.000 0.000
0.000 5.855 0.000
0.000 0.000 6.088
Ir Y Te I
1 1 1 2
Direct
0.500 0.500 0.500
0.000 0.000 0.000
0.000 0.000 0.500
0.000 0.500 0.000
0.500 0.000 0.000
```

Distance to the lowest polymorph of the same formula   536 meV/atom

=====

A plane-wave DFT calculation with PBE was carried out for YTe2IrI after structural relaxation.

Structure (POSCAR):
```
YTe2IrI
1.0
-5.185 0.928 -2.597
2.590 -0.261 -5.264
-0.936 -5.724 -0.177
Y Te I Ir
1 2 1 1
Direct
0.000 0.000 0.000
0.500 0.000 0.000
0.000 0.500 0.000
0.000 0.000 0.500
0.500 0.500 0.500
```

Distance to the lowest polymorph of the same formula   815 meV/atom

=====

A plane-wave DFT calculation with PBE was carried out for YTeIrI2 after structural relaxation.

Structure (POSCAR):
```
YTeIrI2
1.0
-3.773 3.733 0.359
-0.820 -0.324 -5.246
-3.699 -3.817 0.814
Ir I Y Te
1 2 1 1
Direct
0.000 0.000 0.000
0.500 0.000 0.000
0.000 0.500 0.000
0.500 0.500 0.500
0.000 0.000 0.500
```

Distance to the lowest polymorph of the same formula   0 meV/atom

=====

A plane-wave DFT calculation with PBE was carried out for YTe2IrI after structural relaxation.

Structure (POSCAR):
```
YTe2IrI
1.0
-3.381 4.127 -0.231
-3.236 -2.457 3.465
2.517 2.284 3.971
Ir Te Y I
1 2 1 1
Direct
0.000 0.000 0.000
0.000 0.500 0.000
0.500 0.000 0.000
0.500 0.500 0.500
0.000 0.000 0.500
```

Distance to the lowest polymorph of the same formula   0 meV/atom

=====

A plane-wave DFT calculation with PBE was carried out for ZnTeIrI2 after structural relaxation.

Structure (POSCAR):
```
ZnTeIrI2
1.0
5.661 0.000 0.000
0.000 5.661 0.000
0.000 0.000 5.051
Te I Ir Zn
1 2 1 1
Direct
0.000 0.000 0.500
0.500 0.000 0.000
0.000 0.500 0.000
0.000 0.000 0.000
0.500 0.500 0.500
```

Distance to the lowest polymorph of the same formula   0 meV/atom

=====

A plane-wave DFT calculation with PBE was carried out for ZnTeIrI2 after structural relaxation.

Structure (POSCAR):
```
ZnTeIrI2
1.0
5.335 0.000 0.000
0.000 5.335 0.000
0.000 0.000 5.414
I Zn Te Ir
2 1 1 1
Direct
0.000 0.500 0.000
0.500 0.000 0.000
0.000 0.000 0.000
0.000 0.000 0.500
0.500 0.500 0.500
```

Distance to the lowest polymorph of the same formula   766 meV/atom

=====

A plane-wave DFT calculation with PBE was carried out for Th2IrI2 after structural relaxation.

Structure (POSCAR):
```
Th2IrI2
1.0
-0.962 -2.386 3.334
-1.219 -3.998 -0.553
11.002 -5.591 1.834
I Th Ir
2 2 1
Direct
0.551 0.084 0.815
0.449 0.916 0.185
0.287 0.800 0.625
0.713 0.200 0.375
0.000 0.500 0.500
```

Energy   -6.508 eV per atom

=====

A plane-wave DFT calculation with PBE was carried out for YThIrI after structural relaxation.

Structure (POSCAR):
```
YThIrI
1.0
-0.970 -2.107 3.493
-0.683 -1.737 -3.753
8.355 -1.243 -0.944
Ir Th I Y
1 1 1 1
Direct
0.305 0.551 0.871
0.086 0.941 0.042
0.969 0.383 0.367
0.517 0.156 0.689
```

Energy   -7.022 eV per atom

=====

A plane-wave DFT calculation with PBE was carried out for TiIr2I after structural relaxation.

Structure (POSCAR):
```
TiIr2I
1.0
0.000 3.275 3.275
3.275 0.000 3.275
3.275 3.275 0.000
I Ir Ti
1 2 1
Direct
0.500 0.500 0.500
0.750 0.750 0.750
0.250 0.250 0.250
0.000 0.000 0.000
```

Distance to the lowest polymorph of the same formula   0 meV/atom

=====

A plane-wave DFT calculation with PBE was carried out for Ti3IrI after structural relaxation.

Structure (POSCAR):
```
Ti3IrI
1.0
4.862 0.000 0.000
0.000 4.862 0.000
0.000 0.000 4.862
Ti Ir I
3 1 1
Direct
0.500 0.000 0.000
0.000 0.500 0.000
0.000 0.000 0.500
0.000 0.000 0.000
0.500 0.500 0.500
```

Distance to the lowest polymorph of the same formula   0 meV/atom

=====

A plane-wave DFT calculation with PBE was carried out for TiIr2I after structural relaxation.

Structure (POSCAR):
```
TiIr2I
1.0
5.610 0.000 0.000
0.000 5.610 0.000
2.805 2.805 6.161
Ti Ir I
2 4 2
Direct
0.500 0.500 0.000
0.250 0.750 0.500
0.152 0.625 0.250
0.875 0.848 0.750
0.598 0.125 0.250
0.375 0.402 0.750
0.000 0.000 0.000
0.750 0.250 0.500
```

Distance to the lowest polymorph of the same formula   19 meV/atom

=====

A plane-wave DFT calculation with PBE was carried out for Tl2IrI2 after structural relaxation.

Structure (POSCAR):
```
Tl2IrI2
1.0
-2.563 2.923 1.754
-0.388 -2.430 3.483
6.430 4.759 6.648
Tl Ir I
2 1 2
Direct
0.575 0.575 0.850
0.425 0.425 0.150
0.000 0.000 0.000
0.750 0.250 0.500
0.250 0.750 0.500
```

Distance to the lowest polymorph of the same formula   435 meV/atom

=====

A plane-wave DFT calculation with PBE was carried out for TlIrI2 after structural relaxation.

Structure (POSCAR):
```
TlIrI2
1.0
0.000 3.831 3.831
3.831 0.000 3.831
3.831 3.831 0.000
Tl I Ir
1 2 1
Direct
0.500 0.500 0.500
0.250 0.250 0.250
0.750 0.750 0.750
0.000 0.000 0.000
```

Distance to the lowest polymorph of the same formula   703 meV/atom

=====

A plane-wave DFT calculation with PBE was carried out for Tl2Ir2I after structural relaxation.

Structure (POSCAR):
```
Tl2Ir2I
1.0
-1.850 -5.591 6.873
7.455 2.812 4.295
-1.549 2.115 1.304
Ir Tl I
4 4 2
Direct
0.405 0.095 0.500
0.595 0.905 0.500
0.095 0.595 0.500
0.905 0.405 0.500
0.190 0.310 0.000
0.690 0.190 0.000
0.310 0.810 0.000
0.810 0.690 0.000
0.500 0.500 0.000
0.000 0.000 0.000
```

Distance to the lowest polymorph of the same formula   381 meV/atom

=====

A plane-wave DFT calculation with PBE was carried out for Tl3IrI6 after structural relaxation.

Structure (POSCAR):
```
Tl3IrI6
1.0
6.614 0.000 4.170
0.000 8.871 0.000
1.209 0.000 14.374
I Tl Ir
12 6 2
Direct
0.256 0.342 0.532
0.744 0.658 0.468
0.080 0.744 0.072
0.658 0.440 0.720
0.080 0.756 0.572
0.342 0.560 0.280
0.920 0.244 0.428
0.658 0.060 0.220
0.256 0.158 0.032
0.342 0.940 0.780
0.744 0.842 0.968
0.920 0.256 0.928
0.783 0.420 0.258
0.217 0.580 0.742
0.500 0.000 0.500
0.783 0.080 0.758
0.217 0.920 0.242
0.500 0.500 0.000
0.000 0.000 0.000
0.000 0.500 0.500
```

Distance to the lowest polymorph of the same formula   0 meV/atom

=====

A plane-wave DFT calculation with PBE was carried out for Tl2IrI6 after structural relaxation.

Structure (POSCAR):
```
Tl2IrI6
1.0
7.561 0.000 0.000
0.000 7.561 0.000
0.000 0.000 13.496
Tl I Ir
4 12 2
Direct
0.500 0.500 0.344
0.000 0.000 0.844
0.500 0.500 0.656
0.000 0.000 0.156
0.677 0.677 0.856
0.177 0.823 0.356
0.749 0.749 0.500
0.251 0.251 0.500
0.823 0.177 0.644
0.823 0.177 0.356
0.177 0.823 0.644
0.249 0.751 0.000
0.677 0.677 0.144
0.751 0.249 0.000
0.323 0.323 0.856
0.323 0.323 0.144
0.000 0.000 0.500
0.500 0.500 0.000
```

Distance to the lowest polymorph of the same formula   63 meV/atom

=====

A plane-wave DFT calculation with PBE was carried out for Tl3IrI6 after structural relaxation.

Structure (POSCAR):
```
Tl3IrI6
1.0
7.861 -0.178 0.000
-1.397 7.738 0.000
-3.232 -3.780 7.175
I Tl Ir
6 3 1
Direct
0.060 0.060 0.737
0.940 0.940 0.263
0.677 0.677 0.737
0.223 0.777 0.000
0.323 0.323 0.263
0.777 0.223 0.000
0.250 0.750 0.500
0.500 0.500 0.000
0.750 0.250 0.500
0.000 0.000 0.000
```

Distance to the lowest polymorph of the same formula   47 meV/atom

=====

A plane-wave DFT calculation with PBE was carried out for Tl2Ir2I after structural relaxation.

Structure (POSCAR):
```
Tl2Ir2I
1.0
-3.371 1.230 0.382
-0.554 -0.417 -3.541
-5.368 -9.456 0.115
Tl Ir I
2 2 1
Direct
0.625 0.625 0.750
0.375 0.375 0.250
0.250 0.750 0.500
0.750 0.250 0.500
0.000 0.000 0.000
```

Distance to the lowest polymorph of the same formula   0 meV/atom